Record 1
Entry from Alexandria: a relaxed Pu3Os5N12 crystal (PBE).

POSCAR file:
```
Pu3Os5N12
1.0
-6.345 6.345 6.345
6.345 -6.345 6.345
6.345 6.345 -6.345
Pu Os N
12 20 48
Cartesian
3.172 1.586 0.000
6.345 3.172 -1.586
1.586 0.000 3.172
7.931 0.000 3.172
0.000 3.172 1.586
3.172 -1.586 6.345
3.172 7.931 0.000
6.345 3.172 4.758
-1.586 6.345 3.172
4.758 6.345 3.172
0.000 3.172 7.931
3.172 4.758 6.345
0.000 0.000 0.000
3.172 3.172 -3.172
3.172 -3.172 3.172
6.345 0.000 0.000
9.517 1.586 0.000
6.345 -3.172 4.758
4.758 6.345 -3.172
4.758 0.000 3.172
3.172 4.758 0.000
6.345 3.172 1.586
-3.172 3.172 3.172
0.000 6.345 0.000
0.000 0.000 6.345
3.172 3.172 3.172
0.000 3.172 4.758
3.172 1.586 6.345
1.586 6.345 3.172
1.586 0.000 9.517
0.000 9.517 1.586
-3.172 4.758 6.345
1.906 -0.370 0.624
7.610 3.796 -3.542
8.251 0.370 0.624
7.610 -2.548 3.542
5.975 -0.624 1.906
9.887 -1.266 2.548
0.624 1.906 -0.370
8.893 2.803 -1.266
3.796 3.542 -1.266
5.720 1.906 0.370
-0.370 0.624 1.906
3.542 -1.266 3.796
5.975 5.720 -1.906
3.542 1.266 2.548
3.796 -3.542 7.610
5.720 -1.906 5.975
2.548 3.542 1.266
6.969 4.438 0.370
3.542 7.610 -2.548
5.975 0.624 4.438
1.906 5.975 -0.624
7.610 2.548 2.803
1.266 2.548 3.542
1.906 0.370 5.720
4.438 5.975 0.624
5.079 3.796 2.803
-1.266 3.796 3.542
4.438 0.370 6.969
0.370 5.720 1.906
2.803 -1.266 8.893
-0.624 1.906 5.975
3.796 2.803 5.079
0.624 8.251 0.370
2.548 9.887 -1.266
2.803 5.079 3.796
0.370 0.624 8.251
2.803 7.610 2.548
6.714 5.720 4.438
0.624 4.438 5.975
2.548 2.803 7.610
-2.548 3.542 7.610
5.720 4.438 6.714
-3.542 7.610 3.796
0.370 6.969 4.438
-1.266 8.893 2.803
-1.906 5.975 5.720
-1.266 2.548 9.887
4.438 6.714 5.720
```

The value obtained for the formation energy from raw total energies is -12.7 kJ per mole of atoms. For the total magnetic moment, the calculation gives 0.73 μB/atom.

***

Record 2
Entry from Alexandria: a relaxed LaPrEu2 crystal (PBE).

POSCAR file:
```
LaPrEu2
1.0
3.776 0.000 0.000
0.000 3.776 0.000
0.000 0.000 10.793
La Pr Eu
1 1 2
Cartesian
0.000 0.000 0.000
0.000 0.000 5.397
1.888 1.888 2.723
1.888 1.888 8.070
```

Its offset from the most stable computed form is 27 meV per atom. For the total magnetic moment, the calculation gives 3.71 μB/atom. The formation energy is 0.09 eV/atom.